i) Material: La2CrN4
Method: DFT, GGA-PBE
State: relaxed

Cell: 7.315 5.575 10.115 Å, 90.00 90.00 90.00°
Space group Pnma (No. 62)
Unique sites:
La  0.016  0.250  0.191 (multiplicity 4)
La  0.155  0.750  0.427 (multiplicity 4)
Cr  0.224  0.750  0.074 (multiplicity 4)
N  0.012  0.250  0.914 (multiplicity 4)
N  0.179  0.504  0.643 (multiplicity 8)
N  0.208  0.250  0.408 (multiplicity 4)

Calculated values
The value obtained for the magnetization is 0.00 Bohr magnetons per cell. The crystal system is orthorhombic.

ii) Material: La2CrN4
Method: DFT, GGA-PBE
State: relaxed

Cell: 3.800 3.800 12.838 Å, 90.00 90.00 90.00°
Space group I4/mmm (No. 139)
Unique sites:
La  0.000  0.000  0.144 (multiplicity 4)
Cr  0.000  0.000  0.500 (multiplicity 2)
N  0.000  0.000  0.338 (multiplicity 4)
N  0.000  0.500  0.000 (multiplicity 4)

Calculated values
The value obtained for the magnetization is 0.18 Bohr magnetons per cell. The density of states at the Fermi level comes out at 0.402 states/eV/atom. The crystal system is tetragonal.

Stability summary: most stable i), least stable ii).

i) Material: LaCr2OsN
Method: DFT, GGA-PBE
State: relaxed

Cell: 5.006 5.006 3.836 Å, 90.00 90.00 90.00°
Space group P4/mmm (No. 123)
Unique sites:
La  0.000  0.000  0.000 (multiplicity 1)
Cr  0.000  0.500  0.500 (multiplicity 2)
Os  0.500  0.500  0.500 (multiplicity 1)
N  0.500  0.500  0.000 (multiplicity 1)

Calculated values
The value obtained for the magnetization is 7.11 Bohr magnetons per cell. The density of states at the Fermi level comes out at 0.950 states/eV/atom. The crystal system is tetragonal.

ii) Material: LaCr2OsN
Method: DFT, GGA-PBE
State: relaxed

Cell: 4.491 4.491 4.803 Å, 90.00 90.00 90.00°
Space group P4/mmm (No. 123)
Unique sites:
La  0.000  0.000  0.000 (multiplicity 1)
Cr  0.000  0.500  0.000 (multiplicity 2)
Os  0.000  0.000  0.500 (multiplicity 1)
N  0.500  0.500  0.500 (multiplicity 1)

Calculated values
The value obtained for the magnetization is 1.54 Bohr magnetons per cell. The density of states at the Fermi level comes out at 1.961 states/eV/atom. The crystal system is tetragonal.

Stability summary: most stable i), least stable ii).

i) Material: LaCrSN2
Method: DFT, GGA-PBE
State: relaxed

Cell: 3.909 3.909 4.682 Å, 90.00 90.00 90.00°
Space group P4/mmm (No. 123)
Unique sites:
La  0.000  0.000  0.000 (multiplicity 1)
Cr  0.500  0.500  0.500 (multiplicity 1)
S  0.500  0.500  0.000 (multiplicity 1)
N  0.000  0.500  0.500 (multiplicity 2)

Calculated values
The value obtained for the magnetization is 0.69 Bohr magnetons per cell. The density of states at the Fermi level comes out at 0.346 states/eV/atom. The crystal system is tetragonal.

ii) Material: LaCrSN2
Method: DFT, GGA-PBE
State: relaxed

Cell: 4.117 4.117 6.060 Å, 90.00 90.00 90.00°
Space group P4/mmm (No. 123)
Unique sites:
La  0.000  0.000  0.000 (multiplicity 1)
Cr  0.500  0.500  0.500 (multiplicity 1)
S  0.000  0.000  0.500 (multiplicity 1)
N  0.000  0.500  0.000 (multiplicity 2)

Calculated values
The value obtained for the magnetization is 3.91 Bohr magnetons per cell. The density of states at the Fermi level comes out at 0.908 states/eV/atom. The crystal system is tetragonal.

Stability summary: most stable i), least stable ii).

i) Material: LaCrTe2N
Method: DFT, GGA-PBE
State: relaxed

Cell: 5.531 5.531 3.735 Å, 90.00 90.00 90.00°
Space group P4/mmm (No. 123)
Unique sites:
La  0.000  0.000  0.000 (multiplicity 1)
Cr  0.500  0.500  0.500 (multiplicity 1)
Te  0.000  0.500  0.500 (multiplicity 2)
N  0.500  0.500  0.000 (multiplicity 1)

Calculated values
The value obtained for the magnetization is 1.81 Bohr magnetons per cell. The density of states at the Fermi level comes out at 0.301 states/eV/atom. The crystal system is tetragonal.

ii) Material: LaCrTe2N
Method: DFT, GGA-PBE
State: relaxed

Cell: 6.391 6.391 3.994 Å, 90.00 90.00 90.00°
Space group P4/mmm (No. 123)
Unique sites:
La  0.000  0.000  0.000 (multiplicity 1)
Cr  0.500  0.500  0.500 (multiplicity 1)
Te  0.000  0.500  0.000 (multiplicity 2)
N  0.000  0.000  0.500 (multiplicity 1)

Calculated values
The value obtained for the magnetization is 4.17 Bohr magnetons per cell. The density of states at the Fermi level comes out at 0.580 states/eV/atom. The crystal system is tetragonal.

Stability summary: most stable i), least stable ii).

i) Material: NaLaCr2
Method: DFT, GGA-PBE
State: relaxed

Cell: 7.378 7.378 7.378 Å, 90.00 90.00 90.00°
Space group Fm-3m (No. 225)
Unique sites:
Na  0.000  0.000  0.000 (multiplicity 4)
La  0.000  0.000  0.500 (multiplicity 4)
Cr  0.250  0.250  0.250 (multiplicity 8)

Calculated values
The value obtained for the magnetization is 34.11 Bohr magnetons per cell. The density of states at the Fermi level comes out at 0.876 states/eV/atom. The crystal system is cubic.

ii) Material: NaLaCr2
Method: DFT, GGA-PBE
State: relaxed

Cell: 7.715 7.715 5.447 Å, 90.00 90.00 90.00°
Space group I-42d (No. 122)
Unique sites:
Na  0.000  0.000  0.000 (multiplicity 4)
La  0.000  0.000  0.500 (multiplicity 4)
Cr  0.246  0.250  0.125 (multiplicity 8)

Calculated values
The value obtained for the magnetization is 1.56 Bohr magnetons per cell. The density of states at the Fermi level comes out at 1.982 states/eV/atom. The crystal system is tetragonal.

Stability summary: most stable i), least stable ii).

i) Material: NaLa2Cr2
Method: DFT, GGA-PBE
State: relaxed

Cell: 8.949 8.949 3.266 Å, 90.00 90.00 90.00°
Space group P4/mbm (No. 127)
Unique sites:
Na  0.000  0.000  0.000 (multiplicity 2)
La  0.200  0.300  0.000 (multiplicity 4)
Cr  0.073  0.573  0.500 (multiplicity 4)

Calculated values
The value obtained for the magnetization is 0.77 Bohr magnetons per cell. The density of states at the Fermi level comes out at 1.174 states/eV/atom. The crystal system is tetragonal.

ii) Material: NaLa2Cr2
Method: DFT, GGA-PBE
State: relaxed

Cell: 3.359 3.359 23.208 Å, 90.00 90.00 90.00°
Space group I4/mmm (No. 139)
Unique sites:
Na  0.000  0.000  0.000 (multiplicity 2)
La  0.000  0.000  0.362 (multiplicity 4)
Cr  0.000  0.500  0.250 (multiplicity 4)

Calculated values
The value obtained for the magnetization is 0.00 Bohr magnetons per cell. The density of states at the Fermi level comes out at 1.548 states/eV/atom. The crystal system is tetragonal.

Stability summary: most stable ii), least stable i).

i) Material: LaNb2Cr
Method: DFT, GGA-PBE
State: relaxed

Cell: 6.689 6.689 6.689 Å, 90.00 90.00 90.00°
Space group Fm-3m (No. 225)
Unique sites:
La  0.000  0.000  0.000 (multiplicity 4)
Nb  0.250  0.250  0.250 (multiplicity 8)
Cr  0.000  0.000  0.500 (multiplicity 4)

Calculated values
The value obtained for the magnetization is 0.00 Bohr magnetons per cell. The density of states at the Fermi level comes out at 0.857 states/eV/atom. The crystal system is cubic.

ii) Material: LaNb2Cr
Method: DFT, GGA-PBE
State: relaxed

Cell: 4.950 4.950 17.673 Å, 90.00 90.00 90.00°
Space group I4_1/amd (No. 141, origin choice 2)
Unique sites:
La  0.000  0.250  0.375 (multiplicity 4)
Nb  0.000  0.000  0.000 (multiplicity 8)
Cr  0.000  0.250  0.875 (multiplicity 4)

Calculated values
The value obtained for the magnetization is 4.88 Bohr magnetons per cell. The density of states at the Fermi level comes out at 1.408 states/eV/atom. The crystal system is tetragonal.

Stability summary: most stable i), least stable ii).

i) Material: La2Nb2Cr
Method: DFT, GGA-PBE
State: relaxed

Cell: 3.819 3.819 18.660 Å, 90.00 90.00 90.00°
Space group I4/mmm (No. 139)
Unique sites:
La  0.000  0.000  0.103 (multiplicity 4)
Nb  0.000  0.500  0.250 (multiplicity 4)
Cr  0.000  0.000  0.500 (multiplicity 2)

Calculated values
The value obtained for the magnetization is 9.54 Bohr magnetons per cell. The density of states at the Fermi level comes out at 1.285 states/eV/atom. The crystal system is tetragonal.

ii) Material: La2Nb2Cr
Method: DFT, GGA-PBE
State: relaxed

Cell: 6.562 6.562 5.483 Å, 90.00 90.00 90.00°
Space group P4/mbm (No. 127)
Unique sites:
La  0.171  0.329  0.000 (multiplicity 4)
Nb  0.153  0.653  0.500 (multiplicity 4)
Cr  0.000  0.000  0.500 (multiplicity 2)

Calculated values
The value obtained for the magnetization is 0.77 Bohr magnetons per cell. The density of states at the Fermi level comes out at 1.175 states/eV/atom. The crystal system is tetragonal.

iii) Material: La2Nb2Cr
Method: DFT, GGA-PBE
State: relaxed

Cell: 8.730 8.730 3.263 Å, 90.00 90.00 90.00°
Space group P4/mbm (No. 127)
Unique sites:
La  0.206  0.294  0.000 (multiplicity 4)
Nb  0.099  0.599  0.500 (multiplicity 4)
Cr  0.000  0.000  0.000 (multiplicity 2)

Calculated values
The value obtained for the magnetization is 0.11 Bohr magnetons per cell. The density of states at the Fermi level comes out at 1.464 states/eV/atom. The crystal system is tetragonal.

Stability summary: most stable ii), least stable iii).